# 1
KNbAs2Cl | PBE-GGA | optimized geometry

Calculated values
V, Å³/cell: 133.8

Cell and atoms, written as CIF:
```
data_KNbAs2Cl
_space_group_name_H-M_alt 'P 4/m m m'
_space_group_IT_number 123
_space_group_name_Hall '-P 4 2'
_cell_length_a 5.424
_cell_length_b 5.424
_cell_length_c 4.546
_cell_angle_alpha 90.00
_cell_angle_beta 90.00
_cell_angle_gamma 90.00
loop_
_atom_site_label
_atom_site_type_symbol
_atom_site_fract_x
_atom_site_fract_y
_atom_site_fract_z
K1 K 0.000 0.000 0.000
Nb1 Nb 0.500 0.500 0.000
As1 As 0.000 0.500 0.500
Cl1 Cl 0.500 0.500 0.500
```

***

# 2
K2NiAsCl6 | PBE-GGA | optimized geometry

Calculated values
V, Å³/cell: 989.6

Cell and atoms, written as CIF:
```
data_K2NiAsCl6
_space_group_name_H-M_alt 'F m -3 m'
_space_group_IT_number 225
_space_group_name_Hall '-F 4 2 3'
_cell_length_a 9.965
_cell_length_b 9.965
_cell_length_c 9.965
_cell_angle_alpha 90.00
_cell_angle_beta 90.00
_cell_angle_gamma 90.00
loop_
_atom_site_label
_atom_site_type_symbol
_atom_site_fract_x
_atom_site_fract_y
_atom_site_fract_z
K1 K 0.250 0.250 0.250
Ni1 Ni 0.000 0.000 0.000
As1 As 0.000 0.000 0.500
Cl1 Cl 0.000 0.000 0.244
```

***

Looking at E_form (uncorrected) for the records above, in order, we have 0.712, -1.067 eV per atom.
Looking at total DFT energy (no corrections) for the records above, in order, we have -3.750, -3.438 eV per atom.